{
  "formula": "ErTcNi4",
  "functional": "PBE",
  "state": "optimized geometry",
  "energy_ev_per_atom": -6.467,
  "formation_enthalpy_0k_ev_per_atom": -0.124,
  "dos_ef_per_ev_atom": 0.684,
  "spacegroup": "No. 216",
  "cell": [[-2.6241, 2.1422, 3.5136], [-4.7439, -1.0412, 0.4816], [-1.5500, -2.6087, 3.8226]],
  "species": ["Ni", "Ni", "Tc", "Er", "Ni", "Ni"],
  "frac_coords": [[0.1258, 0.6247, 0.6247], [0.6247, 0.6247, 0.6247], [0.2500, 0.2500, 0.2500], [0.0000, 0.0000, 0.0000], [0.6247, 0.1258, 0.6247], [0.6247, 0.6247, 0.1258]]
}

{
  "formula": "Ti6PtRh5",
  "functional": "PBE",
  "state": "optimized geometry",
  "energy_ev_per_atom": -8.286,
  "formation_enthalpy_0k_ev_per_atom": -0.772,
  "dos_ef_per_ev_atom": 0.979,
  "spacegroup": "No. 71",
  "cell": [[3.9690, 0.0146, -1.1571], [-0.9634, 6.1920, -3.2255], [0.0144, -0.1368, 7.4331]],
  "species": ["Rh", "Rh", "Ti", "Rh", "Pt", "Ti", "Rh", "Ti", "Ti", "Rh", "Ti", "Ti"],
  "frac_coords": [[0.0000, 0.5000, 0.0000], [0.3307, 0.3307, 0.6613], [0.1679, 0.9143, 0.3357], [0.6636, 0.1636, 0.3272], [0.0000, 0.0000, 0.0000], [0.1679, 0.4214, 0.3357], [0.3364, 0.8364, 0.6728], [0.5000, 0.2571, 0.0000], [0.8321, 0.0857, 0.6643], [0.6693, 0.6693, 0.3387], [0.5000, 0.7429, 0.0000], [0.8321, 0.5786, 0.6643]]
}

{
  "formula": "CsTl3Pb",
  "functional": "PBE",
  "state": "optimized geometry",
  "energy_ev_per_atom": -2.407,
  "formation_enthalpy_0k_ev_per_atom": -0.075,
  "de_polymorph_ev_per_fu": 0.025,
  "dos_ef_per_ev_atom": 0.520,
  "spacegroup": "No. 11",
  "cell": [[5.2464, 0.0005, 0.0003], [0.0008, 8.4828, 2.2154], [0.0003, 0.4317, 8.7735]],
  "species": ["Tl", "Tl", "Pb", "Tl", "Tl", "Tl", "Pb", "Cs", "Tl", "Cs"],
  "frac_coords": [[0.8811, 0.6749, 0.8969], [0.8813, 0.6211, 0.5270], [0.3814, 0.7823, 0.6467], [0.3810, 0.0535, 0.2791], [0.3804, 0.4031, 0.7914], [0.8804, 0.2717, 0.0153], [0.8812, 0.8925, 0.1590], [0.8810, 0.1414, 0.5739], [0.3809, 0.0000, 0.9089], [0.3813, 0.5333, 0.2322]]
}

{
  "formula": "AlPtPb2",
  "functional": "PBE",
  "state": "optimized geometry",
  "energy_ev_per_atom": -4.380,
  "formation_enthalpy_0k_ev_per_atom": -0.080,
  "dos_ef_per_ev_atom": 0.437,
  "spacegroup": "No. 44",
  "cell": [[-0.7970, 1.0718, -6.0233], [4.5576, -1.2936, -3.9520], [-3.9328, -2.1031, 4.2631]],
  "species": ["Pt", "Al", "Pb", "Pb"],
  "frac_coords": [[0.4635, 0.4635, 0.0000], [0.3014, 0.8014, 0.5000], [0.7195, 0.2195, 0.5000], [0.0156, 0.0156, 0.0000]]
}

{
  "formula": "LiCaMo",
  "functional": "PBE",
  "state": "optimized geometry",
  "energy_ev_per_atom": -3.382,
  "formation_enthalpy_0k_ev_per_atom": 1.533,
  "de_polymorph_ev_per_fu": 2.659,
  "dos_ef_per_ev_atom": 1.080,
  "spacegroup": "No. 216",
  "cell": [[-1.6890, -2.3326, -4.1234], [2.9783, -0.4608, -4.0266], [1.8342, -4.5080, -1.2685]],
  "species": ["Li", "Ca", "Mo"],
  "frac_coords": [[0.0000, 0.0000, 0.0000], [0.7500, 0.7500, 0.7500], [0.5000, 0.5000, 0.5000]]
}

{
  "formula": "PaGa2",
  "functional": "PBE",
  "state": "optimized geometry",
  "energy_ev_per_atom": -5.223,
  "formation_enthalpy_0k_ev_per_atom": -0.040,
  "dos_ef_per_ev_atom": 1.232,
  "spacegroup": "No. 12",
  "cell": [[4.0650, -0.0261, -0.4290], [-0.0261, 4.0650, -0.4290], [-2.4930, -2.4930, 4.5448]],
  "species": ["Pa", "Ga", "Ga"],
  "frac_coords": [[0.5000, 0.5000, 0.0000], [0.8096, 0.8096, 0.6880], [0.1904, 0.1904, 0.3120]]
}

{
  "formula": "NaCaPr2",
  "functional": "PBE",
  "state": "optimized geometry",
  "energy_ev_per_atom": -3.015,
  "formation_enthalpy_0k_ev_per_atom": 0.205,
  "dos_ef_per_ev_atom": 1.369,
  "spacegroup": "No. 166",
  "cell": [[3.6227, 0.0000, 0.0000], [1.8114, 3.1374, 0.0000], [1.8114, 1.0458, 13.4239]],
  "species": ["Pr", "Na", "Ca", "Pr"],
  "frac_coords": [[0.9116, 0.9116, 0.2652], [0.0000, 0.0000, 0.0000], [0.5000, 0.5000, 0.5000], [0.0884, 0.0884, 0.7348]]
}

{
  "formula": "CaTaTc2",
  "functional": "PBE",
  "state": "optimized geometry",
  "energy_ev_per_atom": -8.029,
  "formation_enthalpy_0k_ev_per_atom": 0.618,
  "de_polymorph_ev_per_fu": 1.746,
  "dos_ef_per_ev_atom": 1.136,
  "spacegroup": "No. 47",
  "cell": [[-1.7376, -0.3177, -2.6800], [-0.8022, -4.7517, 1.0834], [-3.6501, 1.1253, 2.2331]],
  "species": ["Tc", "Ta", "Ca", "Tc"],
  "frac_coords": [[0.0000, 0.0000, 0.0000], [0.0000, 0.5000, 0.5000], [0.5000, 0.0000, 0.5000], [0.5000, 0.5000, 0.0000]]
}

{
  "formula": "TbDy6Y12",
  "functional": "PBE",
  "state": "optimized geometry",
  "energy_ev_per_atom": -5.628,
  "formation_enthalpy_0k_ev_per_atom": 0.151,
  "de_polymorph_ev_per_fu": 0.000,
  "dos_ef_per_ev_atom": 1.773,
  "spacegroup": "No. 148",
  "cell": [[8.4707, 0.7491, 0.8975], [-0.5437, 8.4864, 0.8975], [-0.5437, -0.6335, 8.5102]],
  "species": ["Y", "Dy", "Y", "Y", "Y", "Dy", "Y", "Dy", "Y", "Y", "Y", "Y", "Y", "Tb", "Dy", "Dy", "Dy", "Y", "Y"],
  "frac_coords": [[0.2237, 0.4572, 0.5637], [0.0923, 0.6928, 0.2559], [0.2028, 0.3583, 0.0106], [0.9894, 0.7972, 0.6417], [0.4363, 0.7763, 0.5428], [0.2559, 0.0923, 0.6928], [0.0106, 0.2028, 0.3583], [0.9077, 0.3072, 0.7441], [0.5428, 0.4363, 0.7763], [0.7972, 0.6417, 0.9894], [0.3583, 0.0106, 0.2028], [0.7763, 0.5428, 0.4363], [0.4572, 0.5637, 0.2237], [0.0000, 0.0000, 0.0000], [0.6928, 0.2559, 0.0923], [0.3072, 0.7441, 0.9077], [0.7441, 0.9077, 0.3072], [0.6417, 0.9894, 0.7972], [0.5637, 0.2237, 0.4572]]
}

{
  "formula": "Nd12Al4InN3",
  "functional": "PBE",
  "state": "optimized geometry",
  "formation_energy_uncorrected_kcal_per_mol_atoms": -9.37,
  "energy_ev_per_atom": -5.401,
  "dos_ef_per_ev_atom": 0.772,
  "spacegroup": "No. 229",
  "cell": [[-2.2279, 0.1792, -8.7004], [3.2296, -8.1156, 2.0974], [-7.2720, 1.7097, 4.9888]],
  "species": ["Nd", "Nd", "Nd", "Nd", "Al", "N", "Al", "N", "Nd", "Nd", "Al", "Nd", "In", "Nd", "Nd", "Nd", "N", "Nd", "Nd", "Al"],
  "frac_coords": [[0.2500, 0.5000, 0.7500], [0.2759, 0.0000, 0.2759], [0.7241, 0.7241, 0.0000], [0.5000, 0.7500, 0.2500], [0.0000, 0.5000, 0.0000], [0.5000, 0.5000, 0.0000], [0.5000, 0.0000, 0.0000], [0.0000, 0.5000, 0.5000], [0.2759, 0.2759, 0.0000], [0.7500, 0.5000, 0.2500], [0.5000, 0.5000, 0.5000], [0.0000, 0.7241, 0.7241], [0.0000, 0.0000, 0.0000], [0.7241, 0.0000, 0.7241], [0.0000, 0.2759, 0.2759], [0.7500, 0.2500, 0.5000], [0.5000, 0.0000, 0.5000], [0.5000, 0.2500, 0.7500], [0.2500, 0.7500, 0.5000], [0.0000, 0.0000, 0.5000]]
}

{
  "formula": "KOs2W",
  "functional": "PBE",
  "state": "optimized geometry",
  "energy_ev_per_atom": -8.194,
  "formation_enthalpy_0k_ev_per_atom": 0.934,
  "de_polymorph_ev_per_fu": 0.984,
  "dos_ef_per_ev_atom": 1.022,
  "spacegroup": "No. 6",
  "cell": [[3.8198, 0.0000, 0.0000], [0.0000, 2.7193, 0.0983], [0.0000, 2.3549, 8.4576]],
  "species": ["W", "K", "Os", "Os"],
  "frac_coords": [[0.0000, 0.5985, 0.4064], [0.5000, 0.7298, 0.7675], [0.5000, 0.2709, 0.2294], [0.0000, 0.9008, 0.0966]]
}

{
  "formula": "Ho2Er2Th3",
  "functional": "PBE",
  "state": "optimized geometry",
  "energy_ev_per_atom": -5.566,
  "formation_enthalpy_0k_ev_per_atom": 0.225,
  "de_polymorph_ev_per_fu": 0.629,
  "dos_ef_per_ev_atom": 1.369,
  "spacegroup": "No. 12",
  "cell": [[-1.5208, -1.7583, 2.7065], [8.4892, -8.2701, -0.6027], [0.5734, 6.9726, 2.5004]],
  "species": ["Ho", "Er", "Th", "Th", "Th", "Ho", "Er"],
  "frac_coords": [[0.1245, 0.3659, 0.2490], [0.6295, 0.8904, 0.2590], [0.7734, 0.2719, 0.5468], [0.2266, 0.7281, 0.4532], [0.0000, 0.0000, 0.0000], [0.8755, 0.6341, 0.7510], [0.3705, 0.1096, 0.7410]]
}